# 1
Material: SrCa3Ni
Method: DFT, PBE
State: optimized geometry

Results
As for the symmetry: C2. The total energy comes out at -27.3 eV per cell. As for the formation enthalpy at 0 K: -0.04 eV/atom. For the magnetization, the calculation gives 0.000 μB per atom. The value obtained for the density of states at the Fermi level is 6.516 states/eV/cell.

Geometry as POSCAR:
```
SrCa3Ni
1.0
6.9341 -0.0002 0.0096
0.0000 8.0874 -0.0013
2.1391 -4.0428 6.5793
Sr Ca Ni
2 6 2
direct
0.5115 0.7052 0.9062
0.0115 0.4403 0.9057
0.0072 0.9517 0.4052
0.5114 0.7028 0.4124
0.0159 0.4526 0.4066
0.5115 0.1804 0.9061
0.5118 0.1965 0.3998
0.0116 0.9482 0.9061
0.7763 0.8208 0.6405
0.2469 0.0865 0.1719
```

# 2
Material: Sr2CaNi
Method: DFT, PBE
State: optimized geometry

Results
As for the symmetry: Immm. The total energy comes out at -10.7 eV per cell. As for the formation enthalpy at 0 K: 0.11 eV/atom. For the magnetization, the calculation gives 0.000 μB per atom. The value obtained for the density of states at the Fermi level is 3.133 states/eV/cell.

Geometry as POSCAR:
```
Sr2CaNi
1.0
8.9255 0.5200 -1.4833
7.9475 4.0955 -1.4833
1.8424 0.5040 4.1695
Sr Ca Ni
2 1 1
direct
0.9075 0.9075 0.0925
0.5925 0.5925 0.4075
0.7500 0.7500 0.7500
0.2500 0.2500 0.2500
```

# 3
Material: SrCa3Ni
Method: DFT, PBE
State: optimized geometry

Results
As for the symmetry: P1. The total energy comes out at -27.3 eV per cell. As for the formation enthalpy at 0 K: -0.04 eV/atom. For the magnetization, the calculation gives 0.000 μB per atom. The value obtained for the density of states at the Fermi level is 8.117 states/eV/cell.

Geometry as POSCAR:
```
SrCa3Ni
1.0
7.7707 -0.0204 0.0062
2.1758 7.7032 0.0171
3.0463 -0.8922 6.2053
Ca Ni Sr
6 2 2
direct
0.0062 0.1011 0.3569
0.5035 0.4647 0.4207
0.0077 0.6003 0.3479
0.5127 0.2175 0.9288
0.5221 0.9781 0.4182
0.0070 0.8495 0.8301
0.7657 0.9146 0.6297
0.2646 0.2840 0.3715
0.0226 0.3448 0.8371
0.5036 0.7304 0.9196
```

# 4
Material: SrCa3Ni
Method: DFT, PBE
State: optimized geometry

Results
As for the symmetry: P1. The total energy comes out at -27.3 eV per cell. As for the formation enthalpy at 0 K: -0.03 eV/atom. For the magnetization, the calculation gives 0.000 μB per atom. The value obtained for the density of states at the Fermi level is 7.944 states/eV/cell.

Geometry as POSCAR:
```
SrCa3Ni
1.0
11.5573 -0.0471 0.0369
-3.2001 5.9961 -0.0786
2.7492 -3.5852 5.3373
Ca Ni Sr
6 2 2
direct
0.3792 0.7820 0.0803
0.1941 0.3011 0.5073
0.0300 0.6807 0.4556
0.6578 0.3805 0.6171
0.2915 0.0593 0.8363
0.9374 0.9325 0.1206
0.1289 0.7111 0.0297
0.1019 0.2856 0.9364
0.8332 0.1964 0.8804
0.5613 0.6208 0.3419
```

# 5
Material: SrCa3Ni
Method: DFT, PBE
State: optimized geometry

Results
As for the symmetry: Pm-3m. The total energy comes out at -5.9 eV per cell. As for the formation enthalpy at 0 K: 1.52 eV/atom. For the magnetization, the calculation gives 0.668 μB per atom. The value obtained for the density of states at the Fermi level is 8.946 states/eV/cell.

Geometry as POSCAR:
```
SrCa3Ni
1.0
-1.4217 2.7642 -5.3312
-0.6370 -5.5171 -2.6907
-5.9713 -0.0695 1.5563
Ca Sr Ni
3 1 1
direct
0.5000 0.0000 0.0000
0.0000 0.0000 0.5000
0.0000 0.5000 0.0000
0.0000 0.0000 0.0000
0.5000 0.5000 0.5000
```

# 6
Material: SrCa3Ni
Method: DFT, PBE
State: optimized geometry

Results
As for the symmetry: P4mm. The total energy comes out at -12.1 eV per cell. As for the formation enthalpy at 0 K: 0.27 eV/atom. For the magnetization, the calculation gives 0.000 μB per atom. The value obtained for the density of states at the Fermi level is 2.028 states/eV/cell.

Geometry as POSCAR:
```
SrCa3Ni
1.0
4.5554 0.0000 0.0000
0.0000 4.5554 0.0000
0.0000 0.0000 10.2776
Ca Sr Ni
3 1 1
direct
0.0000 0.0000 0.7049
0.5000 0.0000 0.4290
0.0000 0.5000 0.4290
0.0000 0.0000 0.1008
0.5000 0.5000 0.6000
```

# 7
Material: Sr4Ca2Ni
Method: DFT, PBE
State: optimized geometry

Results
As for the symmetry: I4/mmm. The total energy comes out at -15.6 eV per cell. As for the formation enthalpy at 0 K: 0.13 eV/atom. For the magnetization, the calculation gives 0.000 μB per atom. The value obtained for the density of states at the Fermi level is 7.678 states/eV/cell.

Geometry as POSCAR:
```
Sr4Ca2Ni
1.0
-4.2806 -2.1063 -3.2783
2.2755 -5.3046 0.4370
-4.3595 2.0687 9.4738
Ca Sr Ni
2 4 1
direct
0.6474 0.6474 0.2949
0.3526 0.3526 0.7051
0.0000 0.5000 0.0000
0.5000 0.0000 0.0000
0.8477 0.8477 0.6953
0.1523 0.1523 0.3047
0.0000 0.0000 0.0000
```

# 8
Material: SrCa3Ni
Method: DFT, PBE
State: optimized geometry

Results
As for the symmetry: R3m. The total energy comes out at -9.8 eV per cell. As for the formation enthalpy at 0 K: 0.73 eV/atom. For the magnetization, the calculation gives 0.000 μB per atom. The value obtained for the density of states at the Fermi level is 12.516 states/eV/cell.

Geometry as POSCAR:
```
SrCa3Ni
1.0
4.1837 0.0000 6.8164
-2.0918 3.6232 6.8164
-2.0918 -3.6232 6.8164
Ni Ca Sr
1 3 1
direct
0.8786 0.8786 0.8786
0.1130 0.6322 0.6322
0.6322 0.6322 0.1130
0.6322 0.1130 0.6322
0.6190 0.6190 0.6190
```

# 9
Material: SrCa2Ni
Method: DFT, PBE
State: optimized geometry

Results
As for the symmetry: P2/m. The total energy comes out at -11.4 eV per cell. As for the formation enthalpy at 0 K: 0.03 eV/atom. For the magnetization, the calculation gives 0.000 μB per atom. The value obtained for the density of states at the Fermi level is 3.343 states/eV/cell.

Geometry as POSCAR:
```
SrCa2Ni
1.0
4.0148 0.0000 0.0000
0.0000 6.7276 0.0918
0.0000 3.9187 5.4906
Ni Sr Ca
1 1 2
direct
0.5000 0.2500 0.2500
0.5000 0.7500 0.7500
0.0000 0.0930 0.0925
0.0000 0.4070 0.4075
```

# 10
Material: SrCaNi2
Method: DFT, PBE
State: optimized geometry

Results
As for the symmetry: I-42d. The total energy comes out at -27.5 eV per cell. As for the formation enthalpy at 0 K: 0.38 eV/atom. For the magnetization, the calculation gives 0.000 μB per atom. The value obtained for the density of states at the Fermi level is 2.253 states/eV/cell.

Geometry as POSCAR:
```
SrCaNi2
1.0
-1.9748 5.5819 -4.7959
0.7571 -4.7851 -5.8811
-3.6345 -0.4286 -5.0551
Sr Ni Ca
2 4 2
direct
0.0000 0.0000 0.0000
0.7500 0.2500 0.5000
0.6144 0.1250 0.2500
0.3750 0.3856 0.7500
0.1356 0.6250 0.2500
0.8750 0.8644 0.7500
0.5000 0.5000 0.0000
0.2500 0.7500 0.5000
```

# 11
Material: Sr2CaNi
Method: DFT, PBE
State: optimized geometry

Results
As for the symmetry: R-3m. The total energy comes out at -10.8 eV per cell. As for the formation enthalpy at 0 K: 0.09 eV/atom. For the magnetization, the calculation gives 0.000 μB per atom. The value obtained for the density of states at the Fermi level is 2.812 states/eV/cell.

Geometry as POSCAR:
```
Sr2CaNi
1.0
10.6777 -0.0273 -0.0161
9.8831 4.0422 -0.0161
9.8831 1.9299 3.5518
Sr Ni Ca
2 1 1
direct
0.0286 0.0286 0.0286
0.4714 0.4714 0.4714
0.7500 0.7500 0.7500
0.2500 0.2500 0.2500
```

# 12
Material: SrCaNi2
Method: DFT, PBE
State: optimized geometry

Results
As for the symmetry: P4/mmm. The total energy comes out at -14.8 eV per cell. As for the formation enthalpy at 0 K: 0.10 eV/atom. For the magnetization, the calculation gives 0.000 μB per atom. The value obtained for the density of states at the Fermi level is 1.663 states/eV/cell.

Geometry as POSCAR:
```
SrCaNi2
1.0
-2.4438 0.2790 -2.6930
0.7182 -3.4305 -1.0071
-4.8137 -2.2226 4.1380
Ni Sr Ca
2 1 1
direct
0.0000 0.0000 0.9465
0.0000 0.0000 0.5535
0.5000 0.5000 0.2500
0.5000 0.5000 0.7500
```